Computed, not measured: an optimized crystal structure of DyHo2CdC at the PBE-GGA level of DFT.

Cell: 4.895 4.895 4.946 Å, 90.00 90.00 90.00°
Space group P4/mmm (No. 123)
Unique sites:
Dy 0.000 0.000 0.000 (multiplicity 1)
Ho 0.000 0.500 0.500 (multiplicity 2)
Cd 0.500 0.500 0.000 (multiplicity 1)
C 0.000 0.000 0.500 (multiplicity 1)

Computed properties:
* crystal system: tetragonal
* formation energy: -314 meV per atom
* E: -25.46 eV/cell
* total magnetic moment: 0.4 μB/f.u.